#A
A plane-wave DFT calculation with GGA-PBE was carried out for Zn4Pb3 after structural relaxation.

## Properties
Magnetic moment ... 0.00 μB per cell
Crystal system ... hexagonal

Cell lengths 6.6579, 6.6579, 4.7670 Å; angles 90.00, 90.00, 120.00 degrees
Closest atoms and distances in Å follow each position.
Space group P6/mmm (No. 191)
Inequivalent atoms, fractional coordinates:
Zn  0.0000  0.0000  0.2488 (multiplicity 2)  2 Zn 2.37-2.39
Zn  0.3333  0.6667  0.0000 (multiplicity 2)  6 Pb 3.06
Pb  0.0000  0.5000  0.5000 (multiplicity 3)  4 Zn 3.06, 4 Pb 3.33



#B
A plane-wave DFT calculation with GGA-PBE was carried out for Zn4Pb3 after structural relaxation.

## Properties
Magnetic moment ... 0.00 μB per cell
Crystal system ... tetragonal

Cell lengths 3.4098, 3.4098, 27.7427 Å; angles 90.00, 90.00, 90.00 degrees
Closest atoms and distances in Å follow each position.
Space group I4/mmm (No. 139)
Inequivalent atoms, fractional coordinates:
Zn  0.0000  0.0000  0.0802 (multiplicity 4)  4 Zn 2.69
Zn  0.0000  0.0000  0.3772 (multiplicity 4)  4 Zn 2.69
Pb  0.0000  0.0000  0.1990 (multiplicity 4)  5 Zn 3.21-3.30, 4 Pb 3.41
Pb  0.0000  0.0000  0.5000 (multiplicity 2)  10 Zn 3.28-3.41, 4 Pb 3.41



Which structure is the least stable? The one labeled #A.



#A
A plane-wave DFT calculation with GGA-PBE was carried out for Zr2ZnPb2 after structural relaxation.

## Properties
Magnetic moment ... 0.00 μB per cell
Crystal system ... tetragonal

Cell lengths 7.5853, 7.5853, 4.1270 Å; angles 90.00, 90.00, 90.00 degrees
Closest atoms and distances in Å follow each position.
Space group P4/mbm (No. 127)
Inequivalent atoms, fractional coordinates:
Zr  0.1536  0.3464  0.0000 (multiplicity 4)  6 Pb 2.95-3.09, 1 Zr 3.29
Zn  0.0000  0.0000  0.5000 (multiplicity 2)  4 Pb 2.89
Pb  0.1503  0.6503  0.5000 (multiplicity 4)  2 Zn 2.89, 6 Zr 2.95-3.09, 1 Pb 3.23



#B
A plane-wave DFT calculation with GGA-PBE was carried out for Zr2ZnPb2 after structural relaxation.

## Properties
Magnetic moment ... 0.00 μB per cell
Crystal system ... tetragonal

Cell lengths 4.2554, 4.2554, 14.3284 Å; angles 90.00, 90.00, 90.00 degrees
Closest atoms and distances in Å follow each position.
Space group I4/mmm (No. 139)
Inequivalent atoms, fractional coordinates:
Zr  0.0000  0.0000  0.0919 (multiplicity 4)  1 Zr 2.63
Zn  0.0000  0.0000  0.5000 (multiplicity 2)  8 Zr 3.28
Pb  0.0000  0.5000  0.2500 (multiplicity 4)  4 Pb 3.01, 4 Zr 3.11



Which structure is the least stable? The one labeled #B.



#A
A plane-wave DFT calculation with GGA-PBE was carried out for Zr4Pb after structural relaxation.

## Properties
Magnetic moment ... 1.53 μB per cell
Crystal system ... cubic

Cell lengths 5.3492, 5.3492, 5.3492 Å; angles 90.00, 90.00, 90.00 degrees
Closest atoms and distances in Å follow each position.
Space group Pm-3m (No. 221)
Inequivalent atoms, fractional coordinates:
Zr  0.0000  0.0000  0.0000 (multiplicity 1)  12 Zr 3.78
Zr  0.0000  0.5000  0.5000 (multiplicity 3)  2 Pb 2.67
Pb  0.5000  0.5000  0.5000 (multiplicity 1)  6 Zr 2.67



#B
A plane-wave DFT calculation with GGA-PBE was carried out for Zr4Pb after structural relaxation.

## Properties
Magnetic moment ... 0.00 μB per cell
Crystal system ... tetragonal

Cell lengths 7.3649, 7.3649, 4.3001 Å; angles 90.00, 90.00, 90.00 degrees
Closest atoms and distances in Å follow each position.
Space group I4/m (No. 87)
Inequivalent atoms, fractional coordinates:
Zr  0.1114  0.3084  0.0000 (multiplicity 8)  9 Zr 3.09-3.42, 3 Pb 3.19-3.23
Pb  0.0000  0.0000  0.5000 (multiplicity 2)  12 Zr 3.19-3.23



#C
A plane-wave DFT calculation with GGA-PBE was carried out for Zr4Pb after structural relaxation.

## Properties
Magnetic moment ... 0.00 μB per cell
Crystal system ... cubic

Cell lengths 6.6031, 6.6031, 6.6031 Å; angles 90.00, 90.00, 90.00 degrees
Closest atoms and distances in Å follow each position.
Space group Im-3m (No. 229)
Inequivalent atoms, fractional coordinates:
Zr  0.2500  0.2500  0.2500 (multiplicity 8)  2 Pb 2.86
Pb  0.0000  0.0000  0.0000 (multiplicity 2)  8 Zr 2.86



#D
A plane-wave DFT calculation with GGA-PBE was carried out for Zr4Pb after structural relaxation.

## Properties
Magnetic moment ... 0.00 μB per cell
Crystal system ... orthorhombic

Cell lengths 4.9681, 6.1717, 15.0071 Å; angles 90.00, 90.00, 90.00 degrees
Closest atoms and distances in Å follow each position.
Space group Imma (No. 74)
Inequivalent atoms, fractional coordinates:
Zr  0.0000  0.0000  0.0000 (multiplicity 4)  8 Zr 2.96-3.29
Zr  0.0000  0.0078  0.1974 (multiplicity 8)  7 Zr 2.94-3.24, 2 Pb 3.23
Zr  0.0000  0.2500  0.3989 (multiplicity 4)  3 Pb 3.09-3.16, 10 Zr 3.24-3.37
Pb  0.0000  0.2500  0.6095 (multiplicity 4)  13 Zr 3.09-3.35



Which structure is the least stable? The one labeled #A.



#A
A plane-wave DFT calculation with GGA-PBE was carried out for ZrPb4 after structural relaxation.

## Properties
Magnetic moment ... 0.00 μB per cell
Crystal system ... cubic

Cell lengths 5.6855, 5.6855, 5.6855 Å; angles 90.00, 90.00, 90.00 degrees
Closest atoms and distances in Å follow each position.
Space group Pm-3m (No. 221)
Inequivalent atoms, fractional coordinates:
Zr  0.0000  0.0000  0.0000 (multiplicity 1)  6 Pb 2.84
Pb  0.0000  0.0000  0.5000 (multiplicity 3)  2 Zr 2.84
Pb  0.5000  0.5000  0.5000 (multiplicity 1)  12 Pb 4.02



#B
A plane-wave DFT calculation with GGA-PBE was carried out for ZrPb4 after structural relaxation.

## Properties
Magnetic moment ... 0.00 μB per cell
Crystal system ... cubic

Cell lengths 6.9138, 6.9138, 6.9138 Å; angles 90.00, 90.00, 90.00 degrees
Closest atoms and distances in Å follow each position.
Space group Im-3m (No. 229)
Inequivalent atoms, fractional coordinates:
Zr  0.0000  0.0000  0.0000 (multiplicity 2)  8 Pb 2.99
Pb  0.2500  0.2500  0.2500 (multiplicity 8)  2 Zr 2.99



Which structure is the least stable? The one labeled #A.



#A
A plane-wave DFT calculation with GGA-PBE was carried out for Pm2Pd after structural relaxation.

## Properties
Magnetic moment ... 0.00 μB per cell
Crystal system ... orthorhombic

Cell lengths 8.7600, 3.8814, 9.8302 Å; angles 90.00, 90.00, 90.00 degrees
Closest atoms and distances in Å follow each position.
Space group Pnma (No. 62)
Inequivalent atoms, fractional coordinates:
Pm  0.0116  0.2500  0.1796 (multiplicity 4)  4 Pd 3.09-3.13
Pm  0.1615  0.2500  0.5370 (multiplicity 4)  3 Pd 2.90-3.00
Pd  0.2373  0.7500  0.3285 (multiplicity 4)  7 Pm 2.90-3.13



#B
A plane-wave DFT calculation with GGA-PBE was carried out for Pm2Pd after structural relaxation.

## Properties
Magnetic moment ... 0.74 μB per cell
Crystal system ... tetragonal

Cell lengths 3.6430, 3.6430, 12.5045 Å; angles 90.00, 90.00, 90.00 degrees
Closest atoms and distances in Å follow each position.
Space group I4/mmm (No. 139)
Inequivalent atoms, fractional coordinates:
Pm  0.0000  0.0000  0.1377 (multiplicity 4)  4 Pd 3.10, 1 Pm 3.44
Pd  0.0000  0.0000  0.5000 (multiplicity 2)  8 Pm 3.10



Which structure is the least stable? The one labeled #B.



#A
A plane-wave DFT calculation with GGA-PBE was carried out for Pm3Pd after structural relaxation.

## Properties
Magnetic moment ... 0.00 μB per cell
Crystal system ... orthorhombic

Cell lengths 3.6333, 3.7490, 9.2665 Å; angles 90.00, 90.00, 90.00 degrees
Closest atoms and distances in Å follow each position.
Space group Pmm2 (No. 25)
Inequivalent atoms, fractional coordinates:
Pm  0.0000  0.0000  0.0000 (multiplicity 1)  10 Pm 3.61-3.75
Pm  0.0000  0.5000  0.3331 (multiplicity 1)  4 Pd 2.93
Pm  0.5000  0.5000  0.7213 (multiplicity 1)  2 Pd 2.94
Pd  0.5000  0.0000  0.4774 (multiplicity 1)  6 Pm 2.93-2.94



#B
A plane-wave DFT calculation with GGA-PBE was carried out for Pm3Pd after structural relaxation.

## Properties
Magnetic moment ... 0.00 μB per cell
Crystal system ... tetragonal

Cell lengths 12.2455, 12.2455, 6.1518 Å; angles 90.00, 90.00, 90.00 degrees
Closest atoms and distances in Å follow each position.
Space group I-4 (No. 82)
Inequivalent atoms, fractional coordinates:
Pm  0.0005  0.1422  0.2495 (multiplicity 8)  4 Pd 3.04-3.17
Pm  0.0941  0.5957  0.0012 (multiplicity 8)  2 Pd 3.13-3.14, 3 Pm 3.29-3.48
Pm  0.2045  0.7060  0.5292 (multiplicity 8)  2 Pd 3.07
Pd  0.0011  0.2036  0.7493 (multiplicity 8)  8 Pm 3.04-3.17



Which structure is the least stable? The one labeled #A.



#A
A plane-wave DFT calculation with GGA-PBE was carried out for Pm3Pd after structural relaxation.

## Properties
Magnetic moment ... 0.00 μB per cell
Crystal system ... orthorhombic

Cell lengths 3.7886, 5.5209, 11.0907 Å; angles 90.00, 90.00, 90.00 degrees
Closest atoms and distances in Å follow each position.
Space group Immm (No. 71)
Inequivalent atoms, fractional coordinates:
Pm  0.0000  0.0000  0.0000 (multiplicity 2)  4 Pd 3.35, 4 Pm 3.58
Pm  0.0000  0.5000  0.2062 (multiplicity 4)  2 Pd 2.97
Pd  0.0000  0.0000  0.5000 (multiplicity 2)  4 Pm 2.97



#B
A plane-wave DFT calculation with GGA-PBE was carried out for Pm3Pd after structural relaxation.

## Properties
Magnetic moment ... 0.00 μB per cell
Crystal system ... tetragonal

Cell lengths 4.5012, 4.5012, 10.9660 Å; angles 90.00, 90.00, 90.00 degrees
Closest atoms and distances in Å follow each position.
Space group I4/mmm (No. 139)
Inequivalent atoms, fractional coordinates:
Pm  0.0000  0.0000  0.0000 (multiplicity 2)  4 Pd 3.18, 8 Pm 3.55
Pm  0.0000  0.5000  0.2500 (multiplicity 4)  8 Pm 3.18-3.55, 4 Pd 3.55
Pd  0.0000  0.0000  0.5000 (multiplicity 2)  12 Pm 3.18-3.55



#C
A plane-wave DFT calculation with GGA-PBE was carried out for Pm3Pd after structural relaxation.

## Properties
Magnetic moment ... 0.00 μB per cell
Crystal system ... orthorhombic

Cell lengths 3.8910, 12.3146, 9.8153 Å; angles 90.00, 90.00, 90.00 degrees
Closest atoms and distances in Å follow each position.
Space group Cmcm (No. 63)
Inequivalent atoms, fractional coordinates:
Pm  0.0000  0.0715  0.2500 (multiplicity 4)  2 Pd 3.11
Pm  0.0000  0.3643  0.0602 (multiplicity 8)  2 Pd 2.94
Pd  0.0000  0.2314  0.7500 (multiplicity 4)  6 Pm 2.94-3.11



Which structure is the least stable? The one labeled #B.



#A
A plane-wave DFT calculation with GGA-PBE was carried out for Pm3Pd2 after structural relaxation.

## Properties
Magnetic moment ... 2.02 μB per cell
Crystal system ... tetragonal

Cell lengths 3.6468, 3.6468, 19.3381 Å; angles 90.00, 90.00, 90.00 degrees
Closest atoms and distances in Å follow each position.
Space group I4/mmm (No. 139)
Inequivalent atoms, fractional coordinates:
Pm  0.0000  0.0000  0.0000 (multiplicity 2)  8 Pd 3.12, 2 Pm 3.49
Pm  0.0000  0.0000  0.1805 (multiplicity 4)  4 Pd 3.11
Pd  0.0000  0.0000  0.4091 (multiplicity 4)  8 Pm 3.11-3.12



#B
A plane-wave DFT calculation with GGA-PBE was carried out for Pm3Pd2 after structural relaxation.

## Properties
Magnetic moment ... 0.00 μB per cell
Crystal system ... tetragonal

Cell lengths 8.0397, 8.0397, 3.9853 Å; angles 90.00, 90.00, 90.00 degrees
Closest atoms and distances in Å follow each position.
Space group P4/mbm (No. 127)
Inequivalent atoms, fractional coordinates:
Pm  0.0000  0.0000  0.0000 (multiplicity 2)  4 Pd 3.17
Pm  0.1672  0.3328  0.5000 (multiplicity 4)  6 Pd 3.07-3.11
Pd  0.1273  0.6273  0.0000 (multiplicity 4)  1 Pd 2.90, 8 Pm 3.07-3.17



Which structure is the least stable? The one labeled #A.



#A
A plane-wave DFT calculation with GGA-PBE was carried out for PmPd4 after structural relaxation.

## Properties
Magnetic moment ... 0.00 μB per cell
Crystal system ... orthorhombic

Cell lengths 4.4278, 5.8324, 13.9614 Å; angles 90.00, 90.00, 90.00 degrees
Closest atoms and distances in Å follow each position.
Space group Imma (No. 74)
Inequivalent atoms, fractional coordinates:
Pm  0.0000  0.2500  0.1073 (multiplicity 4)  13 Pd 2.92-3.16
Pd  0.0000  0.0000  0.5000 (multiplicity 4)  4 Pd 2.74-2.92, 4 Pm 3.05
Pd  0.0000  0.0162  0.6958 (multiplicity 8)  6 Pd 2.68-2.86, 2 Pm 2.97
Pd  0.0000  0.2500  0.8893 (multiplicity 4)  10 Pd 2.86-3.07, 3 Pm 2.92-3.04



#B
A plane-wave DFT calculation with GGA-PBE was carried out for PmPd4 after structural relaxation.

## Properties
Magnetic moment ... 0.00 μB per cell
Crystal system ... cubic

Cell lengths 9.1902, 9.1902, 9.1902 Å; angles 90.00, 90.00, 90.00 degrees
Closest atoms and distances in Å follow each position.
Space group I-43m (No. 217)
Inequivalent atoms, fractional coordinates:
Pm  0.2212  0.2212  0.7788 (multiplicity 8)  1 Pd 2.75
Pd  0.0000  0.0000  0.3489 (multiplicity 12)  7 Pd 2.62-2.78
Pd  0.0000  0.2500  0.5000 (multiplicity 12)  4 Pd 2.68
Pd  0.1060  0.1060  0.1060 (multiplicity 8)  6 Pd 2.62-2.76, 1 Pm 2.75



Which structure is the least stable? The one labeled #B.



#A
A plane-wave DFT calculation with GGA-PBE was carried out for Pm3PrPd after structural relaxation.

## Properties
Magnetic moment ... 0.00 μB per cell
Crystal system ... hexagonal

Cell lengths 7.8610, 7.8610, 6.0720 Å; angles 90.00, 90.00, 120.00 degrees
Closest atoms and distances in Å follow each position.
Space group P6_3/mmc (No. 194)
Inequivalent atoms, fractional coordinates:
Pm  0.1824  0.3647  0.2500 (multiplicity 6)  2 Pd 2.91
Pr  0.3333  0.6667  0.7500 (multiplicity 2)  12 Pm 3.67-3.94
Pd  0.0000  0.0000  0.0000 (multiplicity 2)  6 Pm 2.91, 2 Pd 3.04



#B
A plane-wave DFT calculation with GGA-PBE was carried out for Pm3PrPd after structural relaxation.

## Properties
Magnetic moment ... 0.01 μB per cell
Crystal system ... cubic

Cell lengths 5.6313, 5.6313, 5.6313 Å; angles 90.00, 90.00, 90.00 degrees
Closest atoms and distances in Å follow each position.
Space group Pm-3m (No. 221)
Inequivalent atoms, fractional coordinates:
Pm  0.0000  0.0000  0.5000 (multiplicity 3)  2 Pd 2.82
Pr  0.5000  0.5000  0.5000 (multiplicity 1)  12 Pm 3.98
Pd  0.0000  0.0000  0.0000 (multiplicity 1)  6 Pm 2.82



#C
A plane-wave DFT calculation with GGA-PBE was carried out for Pm3PrPd after structural relaxation.

## Properties
Magnetic moment ... 0.00 μB per cell
Crystal system ... monoclinic

Cell lengths 12.4089, 3.8623, 13.8285 Å; angles 90.00, 111.83, 90.00 degrees
Closest atoms and distances in Å follow each position.
Space group Cm (No. 8)
Inequivalent atoms, fractional coordinates:
Pm  0.0000  0.0000  0.0000 (multiplicity 2)  2 Pd 3.06
Pm  0.0317  0.0000  0.3816 (multiplicity 2)  1 Pd 3.37, 7 Pm 3.54-3.64, 2 Pr 3.69
Pm  0.1595  0.5000  0.2354 (multiplicity 2)  1 Pd 3.43, 3 Pr 3.55-3.59, 6 Pm 3.57-3.68
Pm  0.1942  0.5000  0.6132 (multiplicity 2)  2 Pd 3.12
Pm  0.3382  0.0000  0.4657 (multiplicity 2)  2 Pd 2.95
Pm  0.4635  0.0000  0.7589 (multiplicity 2)  2 Pd 2.94
Pr  0.2292  0.0000  0.8502 (multiplicity 2)  2 Pd 2.99
Pr  0.3523  0.0000  0.1504 (multiplicity 2)  2 Pd 3.00
Pd  0.1907  0.5000  0.9989 (multiplicity 2)  4 Pr 2.99-3.00, 2 Pm 3.06
Pd  0.4965  0.5000  0.6120 (multiplicity 2)  6 Pm 2.94-3.12



Which structure is the least stable? The one labeled #B.